[1]
## PmHgPbBr6 (GGA-PBE)

Data for PmHgPbBr6 after structural relaxation.

Calculated values
The formation energy from raw total energies is -1.1331 eV per atom. The total energy is -3.222 eV/atom.

```
data_PmHgPbBr6
_chemical_formula_sum 'Pm1 Hg1 Pb1 Br6'
_space_group_name_H-M_alt 'P 3 1 2'
_space_group_IT_number 149
_space_group_name_Hall 'P 3 2'
_cell_length_a 7.5945
_cell_length_b 7.5945
_cell_length_c 6.8034
_cell_angle_alpha 90.00
_cell_angle_beta 90.00
_cell_angle_gamma 120.00
loop_
_atom_site_label
_atom_site_fract_x
_atom_site_fract_y
_atom_site_fract_z
_atom_site_occupancy
Pm1 0.0000 0.0000 0.0000 1
Hg1 0.3333 0.6667 0.5000 1
Pb1 0.6667 0.3333 0.0000 1
Br1 0.3183 0.0097 0.2426 1
```


[2]
## RbHg2PbBr8 (GGA-PBE)

Data for RbHg2PbBr8 after structural relaxation.

Calculated values
The formation energy from raw total energies is -0.6810 eV per atom. The total energy is -2.236 eV/atom.

```
data_RbHg2PbBr8
_chemical_formula_sum 'Rb1 Hg2 Pb1 Br8'
_space_group_name_H-M_alt 'P -1'
_space_group_IT_number 2
_space_group_name_Hall '-P 1'
_cell_length_a 5.951
_cell_length_b 7.024
_cell_length_c 11.092
_cell_angle_alpha 92.03
_cell_angle_beta 98.26
_cell_angle_gamma 97.65
loop_
_atom_site_label
_atom_site_fract_x
_atom_site_fract_y
_atom_site_fract_z
_atom_site_occupancy
Rb1 0.000 0.000 0.000 1
Hg1 0.103 0.502 0.705 1
Pb1 0.500 0.000 0.500 1
Br1 0.203 0.791 0.272 1
Br2 0.222 0.325 0.495 1
Br3 0.248 0.492 0.991 1
Br4 0.339 0.842 0.740 1
```